The following is a DFT calculation (PBE) of a geometry-optimized Mg2SbIr structure.

Calculated values
Magnetization ... 0.00 μB per atom
Final energy ... -66.92 eV/cell

Cell and atoms, written as CIF:
```
data_Mg2SbIr
_chemical_formula_sum 'Mg8 Sb4 Ir4'
_cell_length_a 6.620
_cell_length_b 6.620
_cell_length_c 6.620
_cell_angle_alpha 90.00
_cell_angle_beta 90.00
_cell_angle_gamma 90.00
_space_group_name_H-M_alt 'F -4 3 m'
_space_group_IT_number 216
_space_group_name_Hall 'F -4 2 3'
loop_
_atom_site_label
_atom_site_fract_x
_atom_site_fract_y
_atom_site_fract_z
Mg1 0.000 0.000 0.000
Mg2 0.250 0.250 0.250
Sb1 0.000 0.000 0.500
Ir1 0.250 0.250 0.750
```